Record 1
Rb2Tl2S | PBE | relaxed

Its raw formation energy is -0.212 eV per atom. The calculation puts the energy at -2.37 eV per atom. As for the space group: P4/mbm.

CIF file:
```
data_Rb2Tl2S
_cell_length_a 8.004
_cell_length_b 8.004
_cell_length_c 6.004
_cell_angle_alpha 90.00
_cell_angle_beta 90.00
_cell_angle_gamma 90.00
_symmetry_space_group_name_H-M 'P 1'
_symmetry_Int_Tables_number 1
loop_
_symmetry_equiv_pos_as_xyz
'x,y,z'
loop_
_atom_site_label
_atom_site_fract_x
_atom_site_fract_y
_atom_site_fract_z
Rb1 0.188 0.312 0.000
Rb2 0.312 0.812 0.000
Rb3 0.688 0.188 0.000
Rb4 0.812 0.688 0.000
Tl1 0.136 0.636 0.500
Tl2 0.364 0.136 0.500
Tl3 0.636 0.864 0.500
Tl4 0.864 0.364 0.500
S1 0.000 0.000 0.500
S2 0.500 0.500 0.500
```

Record 2
RbTl6S4 | PBE | relaxed

Its raw formation energy is -0.337 eV per atom. The calculation puts the energy at -3.22 eV per atom. As for the space group: P-6m2.

CIF file:
```
data_RbTl6S4
_cell_length_a 9.144
_cell_length_b 9.144
_cell_length_c 4.531
_cell_angle_alpha 90.00
_cell_angle_beta 90.00
_cell_angle_gamma 120.00
_symmetry_space_group_name_H-M 'P 1'
_symmetry_Int_Tables_number 1
loop_
_symmetry_equiv_pos_as_xyz
'x,y,z'
loop_
_atom_site_label
_atom_site_fract_x
_atom_site_fract_y
_atom_site_fract_z
Rb1 0.000 0.000 0.000
Tl1 0.086 0.543 0.000
Tl2 0.393 0.196 0.500
Tl3 0.457 0.543 0.000
Tl4 0.457 0.914 0.000
Tl5 0.804 0.196 0.500
Tl6 0.804 0.607 0.500
S1 0.166 0.332 0.500
S2 0.166 0.834 0.500
S3 0.667 0.333 0.000
S4 0.668 0.834 0.500
```

Record 3
RbTlS | PBE | relaxed

The calculation puts the energy above the most stable polymorph in this dataset at 2.36 kcal/mol of atoms. Its raw formation energy is -0.617 eV per atom. The calculation puts the energy at -3.10 eV per atom. As for the space group: F-43m.

CIF file:
```
data_RbTlS
_cell_length_a 7.618
_cell_length_b 7.618
_cell_length_c 7.618
_cell_angle_alpha 90.00
_cell_angle_beta 90.00
_cell_angle_gamma 90.00
_symmetry_space_group_name_H-M 'P 1'
_symmetry_Int_Tables_number 1
loop_
_symmetry_equiv_pos_as_xyz
'x,y,z'
loop_
_atom_site_label
_atom_site_fract_x
_atom_site_fract_y
_atom_site_fract_z
Rb1 0.000 0.000 0.000
Rb2 0.000 0.500 0.500
Rb3 0.500 0.000 0.500
Rb4 0.500 0.500 0.000
Tl1 0.000 0.000 0.500
Tl2 0.000 0.500 0.000
Tl3 0.500 0.000 0.000
Tl4 0.500 0.500 0.500
S1 0.250 0.250 0.250
S2 0.250 0.750 0.750
S3 0.750 0.250 0.750
S4 0.750 0.750 0.250
```

Record 4
Rb2TlS2 | PBE | relaxed

The calculation puts the energy above the most stable polymorph in this dataset at 2.42 kcal/mol of atoms. Its raw formation energy is -0.661 eV per atom. The calculation puts the energy at -3.17 eV per atom. As for the space group: C2/m.

CIF file:
```
data_Rb2TlS2
_cell_length_a 8.253
_cell_length_b 8.253
_cell_length_c 9.670
_cell_angle_alpha 116.09
_cell_angle_beta 116.09
_cell_angle_gamma 48.03
_symmetry_space_group_name_H-M 'P 1'
_symmetry_Int_Tables_number 1
loop_
_symmetry_equiv_pos_as_xyz
'x,y,z'
loop_
_atom_site_label
_atom_site_fract_x
_atom_site_fract_y
_atom_site_fract_z
Rb1 0.031 0.031 0.244
Rb2 0.334 0.334 0.926
Rb3 0.666 0.666 0.074
Rb4 0.969 0.969 0.756
Tl1 0.364 0.364 0.360
Tl2 0.636 0.636 0.640
S1 0.186 0.186 0.100
S2 0.471 0.471 0.694
S3 0.529 0.529 0.306
S4 0.814 0.814 0.900
```